VASP calculation (PBE) on a relaxed LaTiAg crystal.

Results
Its energy relative to the elements is 0.51 eV/atom. As for the density of states at the Fermi level: 1.36 states/eV per atom.

a b c (Å): 4.336 4.336 7.687
angles (deg): 90.00 90.00 90.00
Sites, in units of the cell vectors:
La 0.250 0.750 0.000
La 0.750 0.250 0.000
Ti 0.250 0.250 0.367
Ti 0.750 0.750 0.633
Ag 0.250 0.250 0.695
Ag 0.750 0.750 0.305